# 1
Density functional theory data (PBE-GGA) for an optimized crystal structure of PmSm3Sb3.

Properties
Size of the total moment, μB/atom: 0.00
D(E_F), states/eV/atom: 0.594
Offset from the most stable computed form, eV/f.u.: 0.74
Symmetry: R-3, No. 148

```
PmSm3Sb3
1.0
4.6073 2.6601 6.2516
-4.6073 2.6601 6.2516
0.0000 -5.3201 6.2516
Pm Sm Sb
2 6 6
direct
0.1665 0.1665 0.1665
0.8335 0.8335 0.8335
0.1490 0.6822 0.4091
0.3178 0.5909 0.8510
0.4091 0.1490 0.6822
0.5909 0.8510 0.3178
0.6822 0.4091 0.1490
0.8510 0.3178 0.5909
0.0358 0.4246 0.7996
0.2004 0.9642 0.5754
0.4246 0.7996 0.0358
0.5754 0.2004 0.9642
0.7996 0.0358 0.4246
0.9642 0.5754 0.2004
```

# 2
Density functional theory data (PBE-GGA) for an optimized crystal structure of Y2ScAg.

Properties
Size of the total moment, μB/atom: 0.00
D(E_F), states/eV/atom: 1.709
Offset from the most stable computed form, eV/f.u.: 0.04
Formation energy, eV/f.u.: -0.444
Symmetry: P4/mmm, No. 123

```
Y2ScAg
1.0
3.5421 0.0000 0.0000
0.0000 3.5421 0.0000
0.0000 0.0000 8.4539
Y Sc Ag
2 1 1
direct
0.0000 0.0000 0.2283
0.0000 0.0000 0.7717
0.5000 0.5000 0.5000
0.5000 0.5000 0.0000
```

# 3
Density functional theory data (PBE-GGA) for an optimized crystal structure of CaY2Tl2.

Properties
Size of the total moment, μB/atom: 0.00
D(E_F), states/eV/atom: 1.326
Offset from the most stable computed form, eV/f.u.: 0.00
Formation energy, eV/f.u.: -1.647
Symmetry: P4/mbm, No. 127

```
CaY2Tl2
1.0
8.4936 0.0000 0.0000
0.0000 8.4936 0.0000
0.0000 0.0000 4.1396
Ca Y Tl
2 4 4
direct
0.0000 0.0000 0.0000
0.5000 0.5000 0.0000
0.1705 0.3295 0.5000
0.3295 0.8295 0.5000
0.6705 0.1705 0.5000
0.8295 0.6705 0.5000
0.1305 0.6305 0.0000
0.3695 0.1305 0.0000
0.6305 0.8695 0.0000
0.8695 0.3695 0.0000
```

# 4
Density functional theory data (PBE-GGA) for an optimized crystal structure of LaCd4Hg2.

Properties
Size of the total moment, μB/atom: 0.00
D(E_F), states/eV/atom: 0.464
Offset from the most stable computed form, eV/f.u.: 0.00
Formation energy, eV/f.u.: -1.496
Symmetry: Cmmm, No. 65

```
LaCd4Hg2
1.0
2.3238 -8.8023 0.0000
2.3238 8.8023 0.0000
0.0000 0.0000 4.2831
La Cd Hg
1 4 2
direct
0.0000 0.0000 0.0000
0.1804 0.8196 0.5000
0.3078 0.6922 0.0000
0.6922 0.3078 0.0000
0.8196 0.1804 0.5000
0.4203 0.5797 0.5000
0.5797 0.4203 0.5000
```

# 5
Density functional theory data (PBE-GGA) for an optimized crystal structure of Li2AgHPd.

Properties
Size of the total moment, μB/atom: 0.00
D(E_F), states/eV/atom: 0.210
Offset from the most stable computed form, eV/f.u.: 0.00
Symmetry: P4/mmm, No. 123

```
Li2AgHPd
1.0
4.1445 0.0000 0.0000
0.0000 4.1445 0.0000
0.0000 0.0000 3.6137
Li Ag H Pd
2 1 1 1
direct
0.0000 0.5000 0.0000
0.5000 0.0000 0.0000
0.0000 0.0000 0.5000
0.5000 0.5000 0.0000
0.5000 0.5000 0.5000
```

# 6
Density functional theory data (PBE-GGA) for an optimized crystal structure of Dy6As2PbS3.

Properties
Size of the total moment, μB/atom: 0.00
D(E_F), states/eV/atom: 0.375
Total DFT energy (no corrections), eV/atom: -5.98
Symmetry: C2/m, No. 12

```
Dy6As2PbS3
1.0
8.8837 -2.0249 0.0000
8.8837 2.0249 0.0000
-1.8136 0.0000 7.9960
Dy As Pb S
6 2 1 3
direct
0.0000 0.0000 0.2290
0.0000 0.0000 0.7710
0.3265 0.3265 0.4117
0.3319 0.3319 0.9165
0.6681 0.6681 0.0835
0.6735 0.6735 0.5883
0.1672 0.1672 0.8347
0.8328 0.8328 0.1653
0.5000 0.5000 0.5000
0.1665 0.1665 0.3317
0.5000 0.5000 0.0000
0.8335 0.8335 0.6683
```

# 7
Density functional theory data (PBE-GGA) for an optimized crystal structure of PmPr6SmTm2.

Properties
Size of the total moment, μB/atom: 0.00
D(E_F), states/eV/atom: 1.485
Formation energy, eV/f.u.: 1.115
Symmetry: C2/c, No. 15

```
PmPr6SmTm2
1.0
4.6941 -7.6598 0.0000
4.6941 7.6598 0.0000
-1.3350 0.0000 9.6918
Pm Pr Sm Tm
2 12 2 4
direct
0.0918 0.9082 0.7500
0.9082 0.0918 0.2500
0.0131 0.7967 0.3811
0.0626 0.5103 0.1842
0.2033 0.9869 0.1189
0.2600 0.6086 0.5555
0.3914 0.7400 0.9445
0.4897 0.9374 0.3158
0.5103 0.0626 0.6842
0.6086 0.2600 0.0555
0.7400 0.3914 0.4445
0.7967 0.0131 0.8811
0.9374 0.4897 0.8158
0.9869 0.2033 0.6189
0.4692 0.5308 0.2500
0.5308 0.4692 0.7500
0.2074 0.3016 0.9513
0.3016 0.2074 0.4513
0.6984 0.7926 0.5487
0.7926 0.6984 0.0487
```

# 8
Density functional theory data (PBE-GGA) for an optimized crystal structure of TlRhNO2.

Properties
Size of the total moment, μB/atom: 0.88
D(E_F), states/eV/atom: 0.747
Total DFT energy (no corrections), eV/atom: -4.18
Symmetry: P4/mmm, No. 123

```
TlRhNO2
1.0
4.2907 0.0000 0.0000
0.0000 4.2907 0.0000
0.0000 0.0000 4.2441
Tl Rh N O
1 1 1 2
direct
0.0000 0.0000 0.0000
0.5000 0.5000 0.5000
0.0000 0.0000 0.5000
0.0000 0.5000 0.0000
0.5000 0.0000 0.0000
```

# 9
Density functional theory data (PBE-GGA) for an optimized crystal structure of Ca2YPb.

Properties
Size of the total moment, μB/atom: 0.00
D(E_F), states/eV/atom: 0.927
Formation energy, eV/f.u.: -0.602
Symmetry: F-43m, No. 216

```
Ca2YPb
1.0
0.0000 3.9922 3.9922
3.9922 0.0000 3.9922
3.9922 3.9922 0.0000
Ca Y Pb
2 1 1
direct
0.0000 0.0000 0.0000
0.2500 0.2500 0.2500
0.5000 0.5000 0.5000
0.7500 0.7500 0.7500
```

# 10
Density functional theory data (PBE-GGA) for an optimized crystal structure of Ba3HfTi.

Properties
Size of the total moment, μB/atom: 0.42
D(E_F), states/eV/atom: 1.888
Offset from the most stable computed form, eV/f.u.: 0.00
Formation energy, eV/f.u.: 6.551
Symmetry: Pm-3m, No. 221

```
Ba3HfTi
1.0
5.9979 0.0000 0.0000
0.0000 5.9979 0.0000
0.0000 0.0000 5.9979
Ba Hf Ti
3 1 1
direct
0.0000 0.0000 0.5000
0.0000 0.5000 0.0000
0.5000 0.0000 0.0000
0.5000 0.5000 0.5000
0.0000 0.0000 0.0000
```

# 11
Density functional theory data (PBE-GGA) for an optimized crystal structure of Ba2Li2Sc.

Properties
Size of the total moment, μB/atom: 0.00
D(E_F), states/eV/atom: 1.646
Formation energy, eV/f.u.: 1.329
Symmetry: P4/mbm, No. 127

```
Ba2Li2Sc
1.0
8.7821 0.0000 0.0000
0.0000 8.7821 0.0000
0.0000 0.0000 4.8813
Ba Li Sc
4 4 2
direct
0.1890 0.3110 0.0000
0.3110 0.8110 0.0000
0.6890 0.1890 0.0000
0.8110 0.6890 0.0000
0.1165 0.6165 0.5000
0.3835 0.1165 0.5000
0.6165 0.8835 0.5000
0.8835 0.3835 0.5000
0.0000 0.0000 0.5000
0.5000 0.5000 0.5000
```

# 12
Density functional theory data (PBE-GGA) for an optimized crystal structure of CsSrPd3.

Properties
Size of the total moment, μB/atom: 0.00
D(E_F), states/eV/atom: 1.298
Offset from the most stable computed form, eV/f.u.: 1.45
Formation energy, eV/f.u.: 3.854
Symmetry: Pm-3m, No. 221

```
CsSrPd3
1.0
5.4002 0.0000 0.0000
0.0000 5.4002 0.0000
0.0000 0.0000 5.4002
Cs Sr Pd
1 1 3
direct
0.0000 0.0000 0.0000
0.5000 0.5000 0.5000
0.0000 0.0000 0.5000
0.0000 0.5000 0.0000
0.5000 0.0000 0.0000
```